# Na2RuPt2O6, relaxed, DFT PBE-GGA
data_Na2RuPt2O6
_cell_length_a 5.575
_cell_length_b 9.574
_cell_length_c 5.580
_cell_angle_alpha 90.00
_cell_angle_beta 109.21
_cell_angle_gamma 90.00
_space_group_name_H-M_alt 'C 1 2/m 1'
_space_group_IT_number 12
loop_
_space_group_symop_operation_xyz
'x,y,z'
'-x,-y,-z'
'-x,y,-z'
'x,-y,z'
'x+1/2,y+1/2,z'
'-x+1/2,-y+1/2,-z'
'-x+1/2,y+1/2,-z'
'x+1/2,-y+1/2,z'
loop_
_atom_site_label
_atom_site_type_symbol
_atom_site_fract_x
_atom_site_fract_y
_atom_site_fract_z
_atom_site_occupancy
Na1 Na 0.000 0.165 0.000 1
Ru1 Ru 0.000 0.000 0.500 1
Pt1 Pt 0.000 0.334 0.500 1
O1 O 0.226 0.167 0.687 1
O2 O 0.234 0.500 0.686 1
# Volume (Å³/atom): 12.79
# ΔE_f (raw) (meV/atom): -840